DFT (PBE) results for an optimized crystal structure of TlCuSe.

The structure in CIF format:
```
data_TlCuSe
_chemical_formula_sum 'Tl1 Cu1 Se1'
_symmetry_space_group_name_H-M 'P 1'
_symmetry_Int_Tables_number 1
_cell_length_a 6.5627
_cell_length_b 6.5628
_cell_length_c 3.4869
_cell_angle_alpha 74.59
_cell_angle_beta 74.60
_cell_angle_gamma 30.81
loop_
_symmetry_equiv_pos_as_xyz
'x,y,z'
loop_
_atom_site_label
_atom_site_type_symbol
_atom_site_fract_x
_atom_site_fract_y
_atom_site_fract_z
Cu1 Cu 0.9293 0.9293 0.0707
Se1 Se 0.4036 0.4036 0.5964
Tl1 Tl 0.6671 0.6671 0.3329
```

As for the mass density: 7.79 g/cm3. The calculation puts the magnetization at 0.00 Bohr magnetons per cell. Its symmetry is I4mm (107). The calculated total energy is -3.34 eV per atom. The calculation puts the formation energy (no corrections) at -0.02 eV/atom.

DFT (PBE) results for an optimized crystal structure of Zr3Ni.

The structure in CIF format:
```
data_Zr3Ni
_chemical_formula_sum 'Zr12 Ni4'
_symmetry_space_group_name_H-M 'P 1'
_symmetry_Int_Tables_number 1
_cell_length_a 6.0602
_cell_length_b 9.2688
_cell_length_c 5.7644
_cell_angle_alpha 90.00
_cell_angle_beta 90.00
_cell_angle_gamma 90.00
loop_
_symmetry_equiv_pos_as_xyz
'x,y,z'
loop_
_atom_site_label
_atom_site_type_symbol
_atom_site_fract_x
_atom_site_fract_y
_atom_site_fract_z
Ni1 Ni 0.8900 0.2500 0.3888
Ni2 Ni 0.6100 0.7500 0.8888
Ni3 Ni 0.3900 0.2500 0.1112
Ni4 Ni 0.1100 0.7500 0.6112
Zr1 Zr 0.0365 0.2500 0.8355
Zr2 Zr 0.4635 0.7500 0.3355
Zr3 Zr 0.5365 0.2500 0.6645
Zr4 Zr 0.9635 0.7500 0.1645
Zr5 Zr 0.2064 0.0545 0.3689
Zr6 Zr 0.2936 0.9455 0.8689
Zr7 Zr 0.7064 0.4455 0.1311
Zr8 Zr 0.7936 0.5545 0.6311
Zr9 Zr 0.7936 0.9455 0.6311
Zr10 Zr 0.7064 0.0545 0.1311
Zr11 Zr 0.2936 0.5545 0.8689
Zr12 Zr 0.2064 0.4455 0.3689
```

The energy of formation is -0.206 eV per atom. As for the mass density: 6.82 g/cm3. The calculation puts the magnetization at 0.00 Bohr magnetons per cell. Its symmetry is Pnma (62). The calculated total energy is -8.06 eV per atom.

DFT (PBE) results for an optimized crystal structure of CaTl2Re.

The structure in CIF format:
```
data_CaTl2Re
_chemical_formula_sum 'Ca1 Tl2 Re1'
_symmetry_space_group_name_H-M 'P 1'
_symmetry_Int_Tables_number 1
_cell_length_a 3.5708
_cell_length_b 3.5708
_cell_length_c 7.8407
_cell_angle_alpha 90.00
_cell_angle_beta 90.00
_cell_angle_gamma 90.00
loop_
_symmetry_equiv_pos_as_xyz
'x,y,z'
loop_
_atom_site_label
_atom_site_type_symbol
_atom_site_fract_x
_atom_site_fract_y
_atom_site_fract_z
Re1 Re 0.5000 0.5000 0.7940
Tl1 Tl 0.0000 0.0000 0.9437
Tl2 Tl 0.5000 0.5000 0.2202
Ca1 Ca 0.0000 0.0000 0.5421
```

The energy of formation is 0.623 eV per atom. As for the mass density: 10.55 g/cm3. The calculation puts the magnetization at 0.00 Bohr magnetons per cell. Its symmetry is P4mm (99). The calculated total energy is -4.17 eV per atom. The energy above the most stable polymorph in this dataset comes out at 93 meV/atom.

DFT (PBE) results for an optimized crystal structure of Hf4Ni2Ag.

The structure in CIF format:
```
data_Hf4Ni2Ag
_chemical_formula_sum 'Hf4 Ni2 Ag1'
_symmetry_space_group_name_H-M 'P 1'
_symmetry_Int_Tables_number 1
_cell_length_a 4.3148
_cell_length_b 4.3148
_cell_length_c 8.9908
_cell_angle_alpha 76.12
_cell_angle_beta 76.12
_cell_angle_gamma 60.00
loop_
_symmetry_equiv_pos_as_xyz
'x,y,z'
loop_
_atom_site_label
_atom_site_type_symbol
_atom_site_fract_x
_atom_site_fract_y
_atom_site_fract_z
Hf1 Hf 0.7019 0.7019 0.8942
Hf2 Hf 0.8880 0.8880 0.3361
Hf3 Hf 0.2981 0.2981 0.1058
Hf4 Hf 0.1120 0.1120 0.6639
Ni1 Ni 0.6019 0.6019 0.1944
Ni2 Ni 0.3981 0.3981 0.8056
Ag1 Ag 0.5000 0.5000 0.5000
```

The energy of formation is 0.026 eV per atom. As for the mass density: 11.20 g/cm3. The calculation puts the magnetization at 0.00 Bohr magnetons per cell. Its symmetry is R-3m (166). The calculated total energy is -7.72 eV per atom.

Please write out number 4 again, unchanged.
DFT (PBE) results for an optimized crystal structure of Hf4Ni2Ag.

The structure in CIF format:
```
data_Hf4Ni2Ag
_chemical_formula_sum 'Hf4 Ni2 Ag1'
_symmetry_space_group_name_H-M 'P 1'
_symmetry_Int_Tables_number 1
_cell_length_a 4.3148
_cell_length_b 4.3148
_cell_length_c 8.9908
_cell_angle_alpha 76.12
_cell_angle_beta 76.12
_cell_angle_gamma 60.00
loop_
_symmetry_equiv_pos_as_xyz
'x,y,z'
loop_
_atom_site_label
_atom_site_type_symbol
_atom_site_fract_x
_atom_site_fract_y
_atom_site_fract_z
Hf1 Hf 0.7019 0.7019 0.8942
Hf2 Hf 0.8880 0.8880 0.3361
Hf3 Hf 0.2981 0.2981 0.1058
Hf4 Hf 0.1120 0.1120 0.6639
Ni1 Ni 0.6019 0.6019 0.1944
Ni2 Ni 0.3981 0.3981 0.8056
Ag1 Ag 0.5000 0.5000 0.5000
```

The energy of formation is 0.026 eV per atom. As for the mass density: 11.20 g/cm3. The calculation puts the magnetization at 0.00 Bohr magnetons per cell. Its symmetry is R-3m (166). The calculated total energy is -7.72 eV per atom.